# 1
The following is a DFT calculation (PBE-GGA) of Al2ZnPt after structural relaxation.

The structure in POSCAR format:
```
Al2ZnPt
1.0
1.4765 0.8524 8.2707
-1.4765 0.8524 8.2707
0.0000 -1.7049 8.2707
Al Zn Pt
2 1 1
direct
0.2473 0.2473 0.2473
0.7527 0.7527 0.7527
0.0000 0.0000 0.0000
0.5000 0.5000 0.5000
```

Results
E_form, eV/f.u.: -1.6
Space-group type: R-3m, No. 166

# 2
The following is a DFT calculation (PBE-GGA) of Mg2AlGa2 after structural relaxation.

The structure in POSCAR format:
```
Mg2AlGa2
1.0
8.1211 0.0000 0.0000
0.0000 8.1211 0.0000
0.0000 0.0000 3.0700
Mg Al Ga
4 2 4
direct
0.1333 0.3667 0.0000
0.3667 0.8667 0.0000
0.6333 0.1333 0.0000
0.8667 0.6333 0.0000
0.0000 0.0000 0.0000
0.5000 0.5000 0.0000
0.1671 0.6671 0.5000
0.3329 0.1671 0.5000
0.6671 0.8329 0.5000
0.8329 0.3329 0.5000
```

Results
Energy above the lowest structure with this stoichiometry, kJ/mol of formula units: 73
E_form, eV/f.u.: 0.3
Space-group type: P4/mbm, No. 127

# 3
The following is a DFT calculation (PBE-GGA) of Zr4Zn2H after structural relaxation.

The structure in POSCAR format:
```
Zr4Zn2H
1.0
-2.0566 2.0566 7.5399
2.0566 -2.0566 7.5399
2.0566 2.0566 -7.5399
Zr Zn H
4 2 1
direct
0.0000 0.5000 0.5000
0.1809 0.1809 0.0000
0.5000 0.0000 0.5000
0.8191 0.8191 0.0000
0.3636 0.3636 0.0000
0.6364 0.6364 0.0000
0.0000 0.0000 0.0000
```

Results
Space-group type: I4/mmm, No. 139

# 4
The following is a DFT calculation (PBE-GGA) of Ac5Pm5Pr2 after structural relaxation.

The structure in POSCAR format:
```
Ac5Pm5Pr2
1.0
9.0711 -2.9963 0.0000
9.0711 2.9963 0.0000
-5.9856 0.0000 8.5497
Ac Pm Pr
5 5 2
direct
0.0000 0.0000 0.0000
0.1216 0.1216 0.4582
0.2515 0.2515 0.2481
0.7485 0.7485 0.7519
0.8784 0.8784 0.5418
0.3767 0.3767 0.0470
0.3778 0.3778 0.7171
0.5000 0.5000 0.5000
0.6222 0.6222 0.2829
0.6232 0.6232 0.9530
0.1251 0.1251 0.7979
0.8749 0.8749 0.2021
```

Results
E_form, eV/f.u.: 0.8
Space-group type: C2/m, No. 12

# 5
The following is a DFT calculation (PBE-GGA) of BeAsS2Cl after structural relaxation.

The structure in POSCAR format:
```
BeAsS2Cl
1.0
4.8043 0.0000 0.0000
0.0000 4.8043 0.0000
0.0000 0.0000 4.7697
Be As S Cl
1 1 2 1
direct
0.0000 0.0000 0.0000
0.5000 0.5000 0.5000
0.0000 0.5000 0.5000
0.5000 0.0000 0.5000
0.5000 0.5000 0.0000
```

Results
Formation energy from raw total energies, meV/atom: 714
Energy above the lowest structure with this stoichiometry, kJ/mol of formula units: 259
Space-group type: P4/mmm, No. 123

# 6
The following is a DFT calculation (PBE-GGA) of SrGaTe2S6 after structural relaxation.

The structure in POSCAR format:
```
SrGaTe2S6
1.0
5.9756 -7.7210 0.0000
5.9756 7.7210 0.0000
-2.7449 0.0000 6.1243
Sr Ga Te S
2 2 4 12
direct
0.0842 0.9158 0.7500
0.9158 0.0842 0.2500
0.1670 0.8330 0.2500
0.8330 0.1670 0.7500
0.2976 0.5179 0.9200
0.4821 0.7024 0.5800
0.5179 0.2976 0.4200
0.7024 0.4821 0.0800
0.0667 0.2172 0.7218
0.1158 0.6489 0.9184
0.2172 0.0667 0.2218
0.2762 0.4708 0.5019
0.3511 0.8842 0.5816
0.4708 0.2762 0.0019
0.5292 0.7238 0.9981
0.6489 0.1158 0.4184
0.7238 0.5292 0.4981
0.7828 0.9333 0.7782
0.8842 0.3511 0.0816
0.9333 0.7828 0.2782
```

Results
Formation energy from raw total energies, meV/atom: -473
Space-group type: C2/c, No. 15

# 7
The following is a DFT calculation (PBE-GGA) of HIrPt after structural relaxation.

The structure in POSCAR format:
```
HIrPt
1.0
3.8489 0.0000 0.0000
1.8999 4.3219 0.0000
1.9236 0.1214 4.3969
H Ir Pt
2 2 2
direct
0.0000 0.0000 0.0000
0.2201 0.0949 0.3553
0.5553 0.8600 0.8830
0.9237 0.2748 0.7193
0.1439 0.4590 0.1055
0.3505 0.6724 0.4834
```

Results
Energy above the lowest structure with this stoichiometry, kJ/mol of formula units: 0
Space-group type: P1, No. 1

# 8
The following is a DFT calculation (PBE-GGA) of TeIrF after structural relaxation.

The structure in POSCAR format:
```
TeIrF
1.0
3.2729 0.0000 0.0000
0.0000 1.4958 6.0257
0.0000 -1.4958 6.0257
Te Ir F
1 1 1
direct
0.0000 0.0000 0.0000
0.5000 0.1590 0.1590
0.5000 0.3255 0.3255
```

Results
Formation energy from raw total energies, meV/atom: -432
Energy above the lowest structure with this stoichiometry, kJ/mol of formula units: 61
Space-group type: Amm2, No. 38

# 9
The following is a DFT calculation (PBE-GGA) of PrCuRu after structural relaxation.

The structure in POSCAR format:
```
PrCuRu
1.0
4.2298 0.0000 0.0000
-2.1149 3.6631 0.0000
0.0000 0.0000 4.0070
Pr Cu Ru
1 1 1
direct
0.0000 0.0000 0.0000
0.3333 0.6667 0.5000
0.6667 0.3333 0.5000
```

Results
Energy above the lowest structure with this stoichiometry, kJ/mol of formula units: 43
E_form, eV/f.u.: 0.0
Space-group type: P-6m2, No. 187

# 10
The following is a DFT calculation (PBE-GGA) of La4DyHo3Se8 after structural relaxation.

The structure in POSCAR format:
```
La4DyHo3Se8
1.0
4.1473 2.3945 6.9669
-4.1473 2.3945 6.9669
0.0000 -4.7889 6.9669
La Dy Ho Se
4 1 3 8
direct
0.0000 0.0000 0.0000
0.0000 0.5000 0.5000
0.5000 0.0000 0.5000
0.5000 0.5000 0.0000
0.5000 0.5000 0.5000
0.0000 0.0000 0.5000
0.0000 0.5000 0.0000
0.5000 0.0000 0.0000
0.2423 0.7434 0.7434
0.2428 0.2428 0.2428
0.2566 0.2566 0.7577
0.2566 0.7577 0.2566
0.7434 0.2423 0.7434
0.7434 0.7434 0.2423
0.7572 0.7572 0.7572
0.7577 0.2566 0.2566
```

Results
Formation energy from raw total energies, meV/atom: -1870
Space-group type: R-3m, No. 166

# 11
The following is a DFT calculation (PBE-GGA) of CoTe2H after structural relaxation.

The structure in POSCAR format:
```
CoTe2H
1.0
1.6261 0.9388 8.2441
-1.6261 0.9388 8.2441
0.0000 -1.8776 8.2441
Co Te H
1 2 1
direct
0.0000 0.0000 0.0000
0.0989 0.0989 0.0989
0.9011 0.9011 0.9011
0.5000 0.5000 0.5000
```

Results
Energy above the lowest structure with this stoichiometry, kJ/mol of formula units: 309
Space-group type: R-3m, No. 166

# 12
The following is a DFT calculation (PBE-GGA) of La4TcPtBr2 after structural relaxation.

The structure in POSCAR format:
```
La4TcPtBr2
1.0
7.2755 0.0000 0.0000
0.0000 4.2391 0.0000
-2.4386 0.0000 7.9147
La Tc Pt Br
4 1 1 2
direct
0.2222 0.0000 0.2011
0.2527 0.5000 0.8037
0.7473 0.5000 0.1963
0.7778 0.0000 0.7989
0.0000 0.5000 0.0000
0.5000 0.0000 0.0000
0.0000 0.0000 0.5000
0.5000 0.5000 0.5000
```

Results
Formation energy from raw total energies, meV/atom: -1015
Space-group type: P2/m, No. 10

# 13
The following is a DFT calculation (PBE-GGA) of AcLu after structural relaxation.

The structure in POSCAR format:
```
AcLu
1.0
4.1848 0.0000 0.0000
0.0000 4.1848 0.0000
0.0000 0.0000 4.1848
Ac Lu
1 1
direct
0.0000 0.0000 0.0000
0.5000 0.5000 0.5000
```

Results
Energy above the lowest structure with this stoichiometry, kJ/mol of formula units: 0
E_form, eV/f.u.: 0.1
Space-group type: Pm-3m, No. 221

# 14
The following is a DFT calculation (PBE-GGA) of Tb2PmTmBi5 after structural relaxation.

The structure in POSCAR format:
```
Tb2PmTmBi5
1.0
5.3528 0.0000 0.0000
0.0000 5.3528 0.0000
0.0000 0.0000 12.0375
Tb Pm Tm Bi
2 1 1 5
direct
0.0000 0.0000 0.2358
0.0000 0.0000 0.7642
0.5000 0.5000 0.5000
0.5000 0.5000 0.0000
0.0000 0.0000 0.5000
0.0000 0.5000 0.0000
0.5000 0.0000 0.0000
0.5000 0.5000 0.2507
0.5000 0.5000 0.7493
```

Results
E_form, eV/f.u.: -0.4
Space-group type: P4/mmm, No. 123

# 15
The following is a DFT calculation (PBE-GGA) of Rb2Ag2GeS4 after structural relaxation.

The structure in POSCAR format:
```
Rb2Ag2GeS4
1.0
3.8468 -11.2909 0.0000
3.8468 11.2909 0.0000
-2.8636 0.0000 5.7669
Rb Ag Ge S
4 4 2 8
direct
0.0620 0.9380 0.7500
0.1932 0.8068 0.2500
0.8068 0.1932 0.7500
0.9380 0.0620 0.2500
0.3231 0.6769 0.7500
0.4649 0.5351 0.7500
0.5351 0.4649 0.2500
0.6769 0.3231 0.2500
0.3793 0.6207 0.2500
0.6207 0.3793 0.7500
0.1264 0.4834 0.3397
0.2338 0.3626 0.9496
0.3626 0.2338 0.4496
0.4834 0.1264 0.8397
0.5166 0.8736 0.1603
0.6374 0.7662 0.5504
0.7662 0.6374 0.0504
0.8736 0.5166 0.6603
```

Results
Formation energy from raw total energies, meV/atom: -666
Space-group type: C2/c, No. 15

# 16
The following is a DFT calculation (PBE-GGA) of Er7SiI12 after structural relaxation.

The structure in POSCAR format:
```
Er7SiI12
1.0
7.7890 4.4970 3.4557
-7.7890 4.4970 3.4557
0.0000 -8.9940 3.4557
Er Si I
7 1 12
direct
0.0000 0.0000 0.0000
0.1941 0.4692 0.3993
0.3993 0.1941 0.4692
0.4692 0.3993 0.1941
0.5308 0.6007 0.8059
0.6007 0.8059 0.5308
0.8059 0.5308 0.6007
0.5000 0.5000 0.5000
0.0335 0.1126 0.3450
0.1126 0.3450 0.0335
0.1853 0.5773 0.7278
0.2722 0.8147 0.4227
0.3450 0.0335 0.1126
0.4227 0.2722 0.8147
0.5773 0.7278 0.1853
0.6550 0.9665 0.8874
0.7278 0.1853 0.5773
0.8147 0.4227 0.2722
0.8874 0.6550 0.9665
0.9665 0.8874 0.6550
```

Results
Formation energy from raw total energies, meV/atom: -1204
Space-group type: R-3, No. 148

# 17
The following is a DFT calculation (PBE-GGA) of NaVC2 after structural relaxation.

The structure in POSCAR format:
```
NaVC2
1.0
0.0000 2.7049 2.7049
2.7049 0.0000 2.7049
2.7049 2.7049 0.0000
Na V C
1 1 2
direct
0.0000 0.0000 0.0000
0.5000 0.5000 0.5000
0.2500 0.2500 0.2500
0.7500 0.7500 0.7500
```

Results
Energy above the lowest structure with this stoichiometry, kJ/mol of formula units: 279
E_form, eV/f.u.: 6.4
Space-group type: Fm-3m, No. 225

# 18
The following is a DFT calculation (PBE-GGA) of Hf6Ga5Hg after structural relaxation.

The structure in POSCAR format:
```
Hf6Ga5Hg
1.0
-2.1657 4.0878 6.3911
2.1657 -4.0878 6.3911
2.1657 4.0878 -6.3911
Hf Ga Hg
6 5 1
direct
0.0715 0.3313 0.7402
0.2332 0.0000 0.2332
0.4088 0.6687 0.7402
0.5912 0.3313 0.2598
0.7668 0.0000 0.7668
0.9285 0.6687 0.2598
0.0000 0.5000 0.5000
0.1731 0.1731 0.0000
0.3374 0.8374 0.5000
0.6626 0.1626 0.5000
0.8269 0.8269 0.0000
0.5000 0.5000 0.0000
```

Results
E_form, eV/f.u.: -4.0
Space-group type: Immm, No. 71

# 19
The following is a DFT calculation (PBE-GGA) of VPt3Pb after structural relaxation.

The structure in POSCAR format:
```
VPt3Pb
1.0
4.7420 0.0000 0.0000
0.0000 4.7420 0.0000
0.0000 0.0000 4.7420
V Pt Pb
1 3 1
direct
0.0000 0.0000 0.0000
0.0000 0.0000 0.5000
0.0000 0.5000 0.0000
0.5000 0.0000 0.0000
0.5000 0.5000 0.5000
```

Results
Energy above the lowest structure with this stoichiometry, kJ/mol of formula units: 0
E_form, eV/f.u.: 2.1
Space-group type: Pm-3m, No. 221

# 20
The following is a DFT calculation (PBE-GGA) of La3Zn2Cu4 after structural relaxation.

The structure in POSCAR format:
```
La3Zn2Cu4
1.0
5.4322 -2.2185 0.0000
5.4322 2.2185 0.0000
-2.9094 0.0000 8.0380
La Zn Cu
3 2 4
direct
0.0000 0.0000 0.0000
0.3404 0.3404 0.3255
0.6596 0.6596 0.6745
0.3776 0.3776 0.7123
0.6224 0.6224 0.2877
0.0647 0.0647 0.3975
0.2775 0.2775 0.9446
0.7225 0.7225 0.0554
0.9353 0.9353 0.6025
```

Results
E_form, eV/f.u.: -2.3
Space-group type: C2/m, No. 12

What calculated density values result from the calculations? In sequence: 8.360 3.527 6.466 7.653 2.768 3.555 17.632 9.536 8.172 7.379 6.930 6.861 9.108 8.073 3.895 6.223 4.109 11.887 13.134 6.872 g/cm³.
What M_tot values result from the calculations? In sequence: 0.0 0.0 0.0 0.0 0.0 0.0 0.0 0.0 0.0 0.0 1.4 0.0 0.0 0.0 0.0 0.0 0.0 0.0 0.0 0.0 μB per cell.
What final energy values result from the calculations? In sequence: -4.0989 -2.5370 -5.8486 -4.4240 -2.9810 -4.0484 -5.8569 -5.0565 -6.0569 -5.9903 -3.3511 -5.9481 -4.2414 -4.2535 -3.8622 -4.0026 -5.6215 -6.5993 -5.7647 -4.0065 eV per atom.